Computed, not measured: a geometry-optimized TlReIr2 structure at the PBE-GGA level of DFT.

a b c (Å): 4.872 4.872 4.872
angles (deg): 130.58 130.56 72.50
Element x y z (fractional)
Tl: 0.750 0.250 0.500
Re: 0.250 0.750 0.500
Ir: 0.000 0.000 0.000
Ir: 0.500 0.500 0.000

Values from the calculation:
Total energy in eV/atom: -7.568
M_tot in Bohr magnetons per cell: 1.2
DOS at the Fermi energy in states/eV/f.u.: 3.34

Computed, not measured: a geometry-optimized TlRe2Ir structure at the PBE-GGA level of DFT.

a b c (Å): 2.900 2.900 7.998
angles (deg): 90.00 90.00 90.00
Element x y z (fractional)
Re: 0.000 0.000 0.004
Tl: 0.000 0.000 0.502
Re: 0.500 0.500 0.217
Ir: 0.500 0.500 0.777

Values from the calculation:
Total energy in eV/atom: -8.622
M_tot in Bohr magnetons per cell: 0.0
DOS at the Fermi energy in states/eV/f.u.: 2.46

Computed, not measured: a geometry-optimized TlReIr2 structure at the PBE-GGA level of DFT.

a b c (Å): 3.900 4.115 4.115
angles (deg): 90.00 90.00 90.00
Element x y z (fractional)
Tl: 0.500 0.000 0.500
Ir: 0.000 0.500 0.500
Re: 0.500 0.500 0.000
Ir: 0.000 0.000 0.000

Values from the calculation:
Total energy in eV/atom: -7.377
M_tot in Bohr magnetons per cell: 1.4
DOS at the Fermi energy in states/eV/f.u.: 4.57

Computed, not measured: a geometry-optimized TlReIr2 structure at the PBE-GGA level of DFT.

a b c (Å): 3.856 2.860 6.642
angles (deg): 64.59 90.00 90.00
Element x y z (fractional)
Ir: 0.000 0.530 0.470
Re: 0.500 0.250 0.250
Tl: 0.500 0.750 0.750
Ir: 0.000 0.970 0.030

Values from the calculation:
Total energy in eV/atom: -7.756
M_tot in Bohr magnetons per cell: 0.0
DOS at the Fermi energy in states/eV/f.u.: 3.27